AgIO3: relaxed, PBE.

Computed properties:
Its calculated density is 5.80 g cm⁻³. The calculation puts the total energy at -0.29540 Ry/atom.

a = 5.9374 Å, b = 5.9374 Å, c = 7.9573 Å
α = 90.00°, β = 90.00°, γ = 120.00°
Space group R3m (No. 160, hexagonal axes)
One atom of each set of equivalent atoms:
Ag 0.0000 0.0000 0.0000 x3
I 0.0000 0.0000 0.4407 x3
O 0.1756 0.3513 0.2188 x9



PrNiOs: relaxed, PBE.

Computed properties:
The value obtained for the calculated formation energy is 526 meV/atom. Its calculated density is 10.36 g cm⁻³. As for the energy relative to the lowest polymorph listed for this composition: 0.000 eV per atom.

a = 6.2999 Å, b = 6.2999 Å, c = 6.2999 Å
α = 90.00°, β = 90.00°, γ = 90.00°
Space group F-43m (No. 216)
One atom of each set of equivalent atoms:
Pr 0.0000 0.0000 0.0000 x4
Ni 0.2500 0.2500 0.7500 x4
Os 0.0000 0.0000 0.5000 x4